This record from the Alexandria database describes a relaxed structure of MgOsCl2. The functional is PBE.

The value obtained for the total magnetic moment is 0.00 μB/f.u. For the raw total energy, the calculation gives -4.35 eV per atom. As for the energy relative to the lowest polymorph listed for this composition: 0 meV/atom. The raw formation energy is -0.218 eV/atom.

It has space group Pm (No. 6), with a = 4.202 Å, b = 3.094 Å, c = 7.349 Å, α = 90.00°, β = 99.86° and γ = 90.00°. The distinct sites, in fractional coordinates, are Mg at (0.000, 0.000, 0.000), Os at (0.455, 0.500, 0.880), Cl at (0.337, 0.000, 0.643) and Cl at (0.701, 0.500, 0.199).


This record from the Alexandria database describes a relaxed structure of Nb4CoC2. The functional is PBE.

The value obtained for the total magnetic moment is 0.00 μB/f.u. For the raw total energy, the calculation gives -9.82 eV per atom. Its energy of formation from the pure elements is -0.419 eV/atom. The value obtained for the density of states at the Fermi level is 4.4 states/eV/f.u.

It has space group Cmcm (No. 63), with a = 3.202 Å, b = 10.586 Å, c = 11.220 Å, α = 90.00°, β = 90.00° and γ = 90.00°. The distinct sites, in fractional coordinates, are Nb at (0.000, 0.000, 0.000), Nb at (0.000, 0.269, 0.110), Nb at (0.000, 0.431, 0.750), Co at (0.000, 0.108, 0.750) and C at (0.000, 0.364, 0.563).


This record from the Alexandria database describes a relaxed structure of Mn3CrI. The functional is PBE.

The value obtained for the total magnetic moment is 7.64 μB/f.u. For the raw total energy, the calculation gives -6.73 eV per atom. As for the energy relative to the lowest polymorph listed for this composition: 0 meV/atom. The raw formation energy is 1.007 eV/atom. The value obtained for the density of states at the Fermi level is 2.5 states/eV/f.u.

It has space group Pm-3m (No. 221), with a = 4.628 Å, b = 4.628 Å, c = 4.628 Å, α = 90.00°, β = 90.00° and γ = 90.00°. The distinct sites, in fractional coordinates, are Mn at (0.000, 0.000, 0.500), Cr at (0.000, 0.000, 0.000) and I at (0.500, 0.500, 0.500).


This record from the Alexandria database describes a relaxed structure of Pm5Sb4. The functional is PBE.

The value obtained for the total magnetic moment is 0.00 μB/f.u. For the raw total energy, the calculation gives -5.36 eV per atom. The raw formation energy is -0.892 eV/atom. The value obtained for the density of states at the Fermi level is 6.2 states/eV/f.u.

It has space group I4/m (No. 87), with a = 12.500 Å, b = 12.500 Å, c = 4.368 Å, α = 90.00°, β = 90.00° and γ = 90.00°. The distinct sites, in fractional coordinates, are Pm at (0.000, 0.000, 0.000), Pm at (0.100, 0.776, 0.500) and Sb at (0.089, 0.235, 0.000).


This record from the Alexandria database describes a relaxed structure of Ni2MoC. The functional is PBE.

The value obtained for the total magnetic moment is 0.00 μB/f.u. For the raw total energy, the calculation gives -7.78 eV per atom. Its energy of formation from the pure elements is 0.122 eV/atom. The value obtained for the density of states at the Fermi level is 3.2 states/eV/f.u.

It has space group C2/m (No. 12), with a = 10.048 Å, b = 2.988 Å, c = 7.180 Å, α = 90.00°, β = 123.84° and γ = 90.00°. The distinct sites, in fractional coordinates, are Ni at (0.131, 0.000, 0.171), Ni at (0.133, 0.000, 0.511), Mo at (0.101, 0.500, 0.818) and C at (0.249, 0.500, 0.173).


This record from the Alexandria database describes a relaxed structure of PrFeOs. The functional is PBE.

The value obtained for the total magnetic moment is 2.47 μB/f.u. For the raw total energy, the calculation gives -8.17 eV per atom. Its energy of formation from the pure elements is -0.010 eV/atom. The value obtained for the density of states at the Fermi level is 2.4 states/eV/f.u.

It has space group Imma (No. 74), with a = 5.255 Å, b = 5.465 Å, c = 7.735 Å, α = 90.00°, β = 90.00° and γ = 90.00°. The distinct sites, in fractional coordinates, are Pr at (0.000, 0.250, 0.122), Fe at (0.000, 0.000, 0.500) and Os at (0.250, 0.250, 0.750).